one.
A plane-wave DFT calculation with SCAN was carried out for a PBEsol-optimized structure of CuAgRu2.

Summary:
calculated volume: 13.77 Å³ per atom
total magnetization: 0.00 μB per cell

Unit cell a=8.722 b=2.686 c=4.764 alpha=90.00 beta=99.32 gamma=90.00
Space group Cm (No. 8)
Inequivalent atoms, fractional coordinates:
Cu: 0.000 0.000 0.000 x2
Ag: 0.251 0.500 0.210 x2
Ru: 0.008 0.500 0.530 x2
Ru: 0.252 0.000 0.709 x2

two.
A plane-wave DFT calculation with SCAN was carried out for a PBEsol-optimized structure of CuAgRu2.

Summary:
calculated volume: 13.76 Å³ per atom
total magnetization: 0.02 μB per cell

Unit cell a=2.831 b=4.477 c=8.688 alpha=90.00 beta=90.00 gamma=90.00
Space group Imm2 (No. 44)
Inequivalent atoms, fractional coordinates:
Cu: 0.000 0.000 0.000 x2
Ag: 0.000 0.500 0.744 x2
Ru: 0.000 0.000 0.515 x2
Ru: 0.000 0.500 0.255 x2

three.
A plane-wave DFT calculation with SCAN was carried out for a PBEsol-optimized structure of CuAgRu2.

Summary:
calculated volume: 13.90 Å³ per atom
total magnetization: 2.06 μB per cell

Unit cell a=2.756 b=4.375 c=4.614 alpha=90.00 beta=90.00 gamma=90.00
Space group Pmmm (No. 47)
Inequivalent atoms, fractional coordinates:
Cu: 0.000 0.000 0.000 x1
Ag: 0.500 0.500 0.000 x1
Ru: 0.000 0.500 0.500 x1
Ru: 0.500 0.000 0.500 x1

one ends up most stable, edging out the next structure by 0.154 eV/atom.

one.
A plane-wave DFT calculation with SCAN was carried out for a PBEsol-optimized structure of CuAgRu2.

Summary:
calculated volume: 13.70 Å³ per atom
total magnetization: 0.02 μB per cell

Unit cell a=6.030 b=6.030 c=6.030 alpha=90.00 beta=90.00 gamma=90.00
Space group Fm-3m (No. 225)
Inequivalent atoms, fractional coordinates:
Cu: 0.000 0.000 0.000 x4
Ag: 0.000 0.000 0.500 x4
Ru: 0.250 0.250 0.250 x8

two.
A plane-wave DFT calculation with SCAN was carried out for a PBEsol-optimized structure of CuAgRu2.

Summary:
calculated volume: 13.94 Å³ per atom
total magnetization: 3.96 μB per cell

Unit cell a=2.704 b=4.487 c=9.193 alpha=90.00 beta=90.00 gamma=90.00
Space group Cmmm (No. 65)
Inequivalent atoms, fractional coordinates:
Cu: 0.000 0.000 0.000 x2
Ag: 0.000 0.000 0.500 x2
Ru: 0.000 0.500 0.234 x4

two ends up most stable, edging out the next structure by 0.267 eV/atom.

one.
A plane-wave DFT calculation with SCAN was carried out for a PBEsol-optimized structure of CuAg2Ru.

Summary:
calculated volume: 14.64 Å³ per atom
total magnetization: 2.32 μB per cell

Unit cell a=2.830 b=4.505 c=9.186 alpha=90.00 beta=90.00 gamma=90.00
Space group Cmm2 (No. 35)
Inequivalent atoms, fractional coordinates:
Cu: 0.000 0.000 0.000 x2
Ag: 0.000 0.000 0.490 x2
Ag: 0.000 0.500 0.758 x2
Ru: 0.000 0.500 0.228 x2

two.
A plane-wave DFT calculation with SCAN was carried out for a PBEsol-optimized structure of CuAg2Ru.

Summary:
calculated volume: 14.48 Å³ per atom
total magnetization: 0.01 μB per cell

Unit cell a=2.7192 b=2.7192 c=27.1337 alpha=90.00 beta=90.00 gamma=120.00
Space group R3m (No. 160, hexagonal axes)
Inequivalent atoms, fractional coordinates:
Cu: 0.0000 0.0000 0.0000 x3
Ag: 0.0000 0.0000 0.2521 x3
Ag: 0.0000 0.0000 0.4953 x3
Ru: 0.0000 0.0000 0.7418 x3

two ends up most stable, edging out the next structure by 0.048 eV/atom.

one.
A plane-wave DFT calculation with SCAN was carried out for a PBEsol-optimized structure of Cu2AgRu.

Summary:
calculated volume: 13.30 Å³ per atom
total magnetization: 3.18 μB per cell

Unit cell a=3.737 b=3.737 c=7.620 alpha=90.00 beta=90.00 gamma=90.00
Space group I-4m2 (No. 119)
Inequivalent atoms, fractional coordinates:
Cu: 0.000 0.000 0.000 x2
Cu: 0.000 0.500 0.250 x2
Ag: 0.000 0.500 0.750 x2
Ru: 0.000 0.000 0.500 x2

two.
A plane-wave DFT calculation with SCAN was carried out for a PBEsol-optimized structure of Cu2AgRu.

Summary:
calculated volume: 13.24 Å³ per atom
total magnetization: 0.00 μB per cell

Unit cell a=2.586 b=4.502 c=9.100 alpha=90.00 beta=90.00 gamma=90.00
Space group Imm2 (No. 44)
Inequivalent atoms, fractional coordinates:
Cu: 0.000 0.000 0.000 x2
Cu: 0.000 0.500 0.272 x2
Ag: 0.000 0.500 0.754 x2
Ru: 0.000 0.000 0.527 x2

two ends up most stable, edging out the next structure by 0.111 eV/atom.